(A)
DFT (meta-GGA SCAN) results for K2TaRu at its PBEsol-relaxed geometry. Values from VASP.

The structure in Quantum ESPRESSO input format:
```
&SYSTEM
  ibrav = 0, nat = 8, ntyp = 3
/
ATOMIC_SPECIES
K 39.10 K.upf
Ta 180.95 Ta.upf
Ru 101.07 Ru.upf
ATOMIC_POSITIONS crystal
K 0.1485 0.0000 0.1492
K 0.3515 0.5000 0.8508
K 0.6485 0.5000 0.1492
K 0.8515 0.0000 0.8508
Ta 0.0000 0.0000 0.5000
Ta 0.5000 0.5000 0.5000
Ru 0.0000 0.5000 0.0000
Ru 0.5000 0.0000 0.0000
CELL_PARAMETERS angstrom
21.0931 0.0000 0.0000
0.0000 3.1439 0.0000
-0.7244 0.0000 3.8660
```

Computed properties:
Spin magnetization   0.003 μB/f.u.
Symmetry   C2/m (12)
D(E_F)   0.864 states/eV/atom


(B)
DFT (meta-GGA SCAN) results for K2TaRu at its PBEsol-relaxed geometry. Values from VASP.

The structure in Quantum ESPRESSO input format:
```
&SYSTEM
  ibrav = 0, nat = 8, ntyp = 3
/
ATOMIC_SPECIES
K 39.10 K.upf
Ta 180.95 Ta.upf
Ru 101.07 Ru.upf
ATOMIC_POSITIONS crystal
K 0.0000 0.0000 0.0000
K 0.0000 0.5000 0.2002
K 0.5000 0.0000 0.7002
K 0.5000 0.5000 0.5000
Ta 0.0000 0.0000 0.3932
Ta 0.5000 0.5000 0.8932
Ru 0.0000 0.5000 0.7574
Ru 0.5000 0.0000 0.2574
CELL_PARAMETERS angstrom
3.2690 0.0000 0.0000
0.0000 6.3235 0.0000
0.0000 0.0000 11.9668
```

Computed properties:
Spin magnetization   0.002 μB/f.u.
Symmetry   Imm2 (44)
D(E_F)   0.660 states/eV/atom


What is the stability order? It is (A), (B), from most stable to least stable.


(A)
DFT (meta-GGA SCAN) results for KYS3 at its PBEsol-relaxed geometry. Values from VASP.

The structure in Quantum ESPRESSO input format:
```
&SYSTEM
  ibrav = 0, nat = 5, ntyp = 3
/
ATOMIC_SPECIES
K 39.10 K.upf
Y 88.91 Y.upf
S 32.06 S.upf
ATOMIC_POSITIONS crystal
K 0.0000 0.0000 0.0000
Y 0.5000 0.5000 0.5000
S 0.0000 0.0000 0.5000
S 0.0000 0.5000 0.0000
S 0.5000 0.0000 0.0000
CELL_PARAMETERS angstrom
4.9922 0.0000 0.0000
0.0000 4.9922 0.0000
0.0000 0.0000 4.9922
```

Computed properties:
Spin magnetization   0.002 μB/f.u.
Symmetry   Pm-3m (221)
D(E_F)   0.820 states/eV/atom


(B)
DFT (meta-GGA SCAN) results for KYS3 at its PBEsol-relaxed geometry. Values from VASP.

The structure in Quantum ESPRESSO input format:
```
&SYSTEM
  ibrav = 0, nat = 5, ntyp = 3
/
ATOMIC_SPECIES
K 39.10 K.upf
Y 88.91 Y.upf
S 32.06 S.upf
ATOMIC_POSITIONS crystal
K 0.0000 0.0000 0.0000
Y 0.5000 0.5000 0.5000
S 0.0000 0.5000 0.5000
S 0.5000 0.0000 0.5000
S 0.5000 0.5000 0.0000
CELL_PARAMETERS angstrom
5.2340 0.0000 0.0000
0.0000 5.2340 0.0000
0.0000 0.0000 5.2340
```

Computed properties:
Spin magnetization   2.006 μB/f.u.
Symmetry   Pm-3m (221)
D(E_F)   0.753 states/eV/atom


What is the stability order? It is (B), (A), from most stable to least stable.


(A)
DFT (meta-GGA SCAN) results for KSb3 at its PBEsol-relaxed geometry. Values from VASP.

The structure in Quantum ESPRESSO input format:
```
&SYSTEM
  ibrav = 0, nat = 4, ntyp = 2
/
ATOMIC_SPECIES
K 39.10 K.upf
Sb 121.76 Sb.upf
ATOMIC_POSITIONS crystal
K 0.0000 0.0000 0.0000
Sb 0.0000 0.5000 0.3937
Sb 0.5000 0.0000 0.4988
Sb 0.5000 0.5000 0.7506
CELL_PARAMETERS angstrom
3.8608 0.0000 0.0000
0.0000 5.4656 0.0000
0.0000 0.0000 6.0055
```

Computed properties:
Spin magnetization   0.000 μB/f.u.
Symmetry   Pmm2 (25)
D(E_F)   0.437 states/eV/atom


(B)
DFT (meta-GGA SCAN) results for KSb3 at its PBEsol-relaxed geometry. Values from VASP.

The structure in Quantum ESPRESSO input format:
```
&SYSTEM
  ibrav = 0, nat = 12, ntyp = 2
/
ATOMIC_SPECIES
K 39.10 K.upf
Sb 121.76 Sb.upf
ATOMIC_POSITIONS crystal
K 0.0000 0.0000 0.0000
K 0.3333 0.6667 0.6667
K 0.6667 0.3333 0.3333
Sb 0.0000 0.5000 0.0000
Sb 0.1667 0.3333 0.3333
Sb 0.1667 0.8333 0.3333
Sb 0.3333 0.1667 0.6667
Sb 0.5000 0.0000 0.0000
Sb 0.5000 0.5000 0.0000
Sb 0.6667 0.8333 0.3333
Sb 0.8333 0.1667 0.6667
Sb 0.8333 0.6667 0.6667
CELL_PARAMETERS angstrom
11.0927 0.0000 0.0000
-5.5463 9.6065 0.0000
0.0000 0.0000 3.1363
```

Computed properties:
Spin magnetization   0.000 μB/f.u.
Symmetry   R-3m (166)
D(E_F)   0.540 states/eV/atom


(C)
DFT (meta-GGA SCAN) results for KSb3 at its PBEsol-relaxed geometry. Values from VASP.

The structure in Quantum ESPRESSO input format:
```
&SYSTEM
  ibrav = 0, nat = 8, ntyp = 2
/
ATOMIC_SPECIES
K 39.10 K.upf
Sb 121.76 Sb.upf
ATOMIC_POSITIONS crystal
K 0.0000 0.0000 0.0000
K 0.5000 0.5000 0.0000
Sb 0.0000 0.5000 0.5000
Sb 0.2199 0.0000 0.6499
Sb 0.2801 0.5000 0.3501
Sb 0.5000 0.0000 0.5000
Sb 0.7199 0.5000 0.6499
Sb 0.7801 0.0000 0.3501
CELL_PARAMETERS angstrom
11.4489 0.0000 0.0000
0.0000 3.9373 0.0000
-2.0218 0.0000 5.7640
```

Computed properties:
Spin magnetization   0.000 μB/f.u.
Symmetry   C2/m (12)
D(E_F)   0.325 states/eV/atom


What is the stability order? It is (C), (A), (B), from most stable to least stable.


(A)
DFT (meta-GGA SCAN) results for K5Sb4 at its PBEsol-relaxed geometry. Values from VASP.

The structure in Quantum ESPRESSO input format:
```
&SYSTEM
  ibrav = 0, nat = 9, ntyp = 2
/
ATOMIC_SPECIES
K 39.10 K.upf
Sb 121.76 Sb.upf
ATOMIC_POSITIONS crystal
K 0.0000 0.0000 0.0000
K 0.1004 0.1004 0.3911
K 0.2456 0.2456 0.8343
K 0.7544 0.7544 0.1657
K 0.8996 0.8996 0.6089
Sb 0.3939 0.3939 0.3912
Sb 0.4560 0.4560 0.1745
Sb 0.5440 0.5440 0.8255
Sb 0.6061 0.6061 0.6088
CELL_PARAMETERS angstrom
6.1446 -2.7148 0.0000
6.1446 2.7148 0.0000
-4.1459 0.0000 10.3977
```

Computed properties:
Spin magnetization   0.000 μB/f.u.
Symmetry   C2/m (12)
D(E_F)   0.240 states/eV/atom


(B)
DFT (meta-GGA SCAN) results for K5Sb4 at its PBEsol-relaxed geometry. Values from VASP.

The structure in Quantum ESPRESSO input format:
```
&SYSTEM
  ibrav = 0, nat = 9, ntyp = 2
/
ATOMIC_SPECIES
K 39.10 K.upf
Sb 121.76 Sb.upf
ATOMIC_POSITIONS crystal
K 0.0000 0.0000 0.0000
K 0.2467 0.1994 0.5284
K 0.2925 0.5275 0.1558
K 0.7075 0.4725 0.8442
K 0.7533 0.8006 0.4716
Sb 0.2146 0.6733 0.7107
Sb 0.4835 0.0276 0.1734
Sb 0.5165 0.9724 0.8266
Sb 0.7854 0.3267 0.2893
CELL_PARAMETERS angstrom
6.4487 0.0000 0.0000
-0.7004 6.7419 0.0000
-0.0429 -0.3159 8.1120
```

Computed properties:
Spin magnetization   0.000 μB/f.u.
Symmetry   P-1 (2)
D(E_F)   0.339 states/eV/atom


What is the stability order? It is (A), (B), from most stable to least stable.


(A)
DFT (meta-GGA SCAN) results for KSrSb2 at its PBEsol-relaxed geometry. Values from VASP.

The structure in Quantum ESPRESSO input format:
```
&SYSTEM
  ibrav = 0, nat = 12, ntyp = 3
/
ATOMIC_SPECIES
K 39.10 K.upf
Sr 87.62 Sr.upf
Sb 121.76 Sb.upf
ATOMIC_POSITIONS crystal
K 0.0000 0.0000 0.0000
K 0.3333 0.6667 0.6667
K 0.6667 0.3333 0.3333
Sr 0.0000 0.0000 0.1693
Sr 0.3333 0.6667 0.8360
Sr 0.6667 0.3333 0.5026
Sb 0.0000 0.0000 0.4411
Sb 0.0000 0.0000 0.7514
Sb 0.3333 0.6667 0.1077
Sb 0.3333 0.6667 0.4180
Sb 0.6667 0.3333 0.0847
Sb 0.6667 0.3333 0.7744
CELL_PARAMETERS angstrom
5.1542 0.0000 0.0000
-2.5771 4.4637 0.0000
0.0000 0.0000 24.0708
```

Computed properties:
Spin magnetization   0.000 μB/f.u.
Symmetry   R3m (160)
D(E_F)   0.390 states/eV/atom


(B)
DFT (meta-GGA SCAN) results for KSrSb2 at its PBEsol-relaxed geometry. Values from VASP.

The structure in Quantum ESPRESSO input format:
```
&SYSTEM
  ibrav = 0, nat = 4, ntyp = 3
/
ATOMIC_SPECIES
K 39.10 K.upf
Sr 87.62 Sr.upf
Sb 121.76 Sb.upf
ATOMIC_POSITIONS crystal
K 0.0000 0.0000 0.0000
Sr 0.0000 0.0000 0.5000
Sb 0.5000 0.5000 0.3070
Sb 0.5000 0.5000 0.6930
CELL_PARAMETERS angstrom
4.3064 0.0000 0.0000
0.0000 4.4083 0.0000
0.0000 0.0000 7.3356
```

Computed properties:
Spin magnetization   0.000 μB/f.u.
Symmetry   Pmmm (47)
D(E_F)   0.289 states/eV/atom


(C)
DFT (meta-GGA SCAN) results for KSrSb2 at its PBEsol-relaxed geometry. Values from VASP.

The structure in Quantum ESPRESSO input format:
```
&SYSTEM
  ibrav = 0, nat = 16, ntyp = 3
/
ATOMIC_SPECIES
K 39.10 K.upf
Sr 87.62 Sr.upf
Sb 121.76 Sb.upf
ATOMIC_POSITIONS crystal
K 0.0000 0.0000 0.0000
K 0.0000 0.5000 0.2500
K 0.5000 0.0000 0.7500
K 0.5000 0.5000 0.5000
Sr 0.0000 0.0000 0.5000
Sr 0.0000 0.5000 0.7500
Sr 0.5000 0.0000 0.2500
Sr 0.5000 0.5000 0.0000
Sb 0.2457 0.7500 0.6250
Sb 0.2500 0.2457 0.3750
Sb 0.2500 0.2543 0.8750
Sb 0.2543 0.7500 0.1250
Sb 0.7457 0.2500 0.1250
Sb 0.7500 0.7457 0.8750
Sb 0.7500 0.7543 0.3750
Sb 0.7543 0.2500 0.6250
CELL_PARAMETERS angstrom
9.0955 0.0000 0.0000
0.0000 9.0955 0.0000
0.0000 0.0000 6.4405
```

Computed properties:
Spin magnetization   0.000 μB/f.u.
Symmetry   I-42d (122)
D(E_F)   1.048 states/eV/atom


What is the stability order? It is (B), (C), (A), from most stable to least stable.


(A)
DFT (meta-GGA SCAN) results for KSrSb2 at its PBEsol-relaxed geometry. Values from VASP.

The structure in Quantum ESPRESSO input format:
```
&SYSTEM
  ibrav = 0, nat = 12, ntyp = 3
/
ATOMIC_SPECIES
K 39.10 K.upf
Sr 87.62 Sr.upf
Sb 121.76 Sb.upf
ATOMIC_POSITIONS crystal
K 0.0000 0.0000 0.0000
K 0.3333 0.6667 0.6667
K 0.6667 0.3333 0.3333
Sr 0.0000 0.0000 0.5000
Sr 0.3333 0.6667 0.1667
Sr 0.6667 0.3333 0.8333
Sb 0.0000 0.0000 0.2463
Sb 0.0000 0.0000 0.7537
Sb 0.3333 0.6667 0.4204
Sb 0.3333 0.6667 0.9130
Sb 0.6667 0.3333 0.0870
Sb 0.6667 0.3333 0.5796
CELL_PARAMETERS angstrom
3.8768 0.0000 0.0000
-1.9384 3.3574 0.0000
0.0000 0.0000 31.1611
```

Computed properties:
Spin magnetization   0.000 μB/f.u.
Symmetry   R-3m (166)
D(E_F)   0.520 states/eV/atom


(B)
DFT (meta-GGA SCAN) results for KSrSb2 at its PBEsol-relaxed geometry. Values from VASP.

The structure in Quantum ESPRESSO input format:
```
&SYSTEM
  ibrav = 0, nat = 16, ntyp = 3
/
ATOMIC_SPECIES
K 39.10 K.upf
Sr 87.62 Sr.upf
Sb 121.76 Sb.upf
ATOMIC_POSITIONS crystal
K 0.0000 0.0000 0.0000
K 0.0000 0.5000 0.5000
K 0.5000 0.0000 0.5000
K 0.5000 0.5000 0.0000
Sr 0.0000 0.0000 0.5000
Sr 0.0000 0.5000 0.0000
Sr 0.5000 0.0000 0.0000
Sr 0.5000 0.5000 0.5000
Sb 0.2500 0.2500 0.2500
Sb 0.2500 0.2500 0.7500
Sb 0.2500 0.7500 0.2500
Sb 0.2500 0.7500 0.7500
Sb 0.7500 0.2500 0.2500
Sb 0.7500 0.2500 0.7500
Sb 0.7500 0.7500 0.2500
Sb 0.7500 0.7500 0.7500
CELL_PARAMETERS angstrom
8.0043 0.0000 0.0000
0.0000 8.0043 0.0000
0.0000 0.0000 8.0043
```

Computed properties:
Spin magnetization   0.000 μB/f.u.
Symmetry   Fm-3m (225)
D(E_F)   0.555 states/eV/atom


(C)
DFT (meta-GGA SCAN) results for KSrSb2 at its PBEsol-relaxed geometry. Values from VASP.

The structure in Quantum ESPRESSO input format:
```
&SYSTEM
  ibrav = 0, nat = 4, ntyp = 3
/
ATOMIC_SPECIES
K 39.10 K.upf
Sr 87.62 Sr.upf
Sb 121.76 Sb.upf
ATOMIC_POSITIONS crystal
K 0.0000 0.0000 0.0000
Sr 0.5000 0.5000 0.0000
Sb 0.0000 0.5000 0.5000
Sb 0.5000 0.0000 0.5000
CELL_PARAMETERS angstrom
6.0845 0.0000 0.0000
0.0000 6.0845 0.0000
0.0000 0.0000 3.4048
```

Computed properties:
Spin magnetization   0.000 μB/f.u.
Symmetry   P4/mmm (123)
D(E_F)   0.572 states/eV/atom


What is the stability order? It is (C), (B), (A), from most stable to least stable.